(1)
# Ac2La2Ir

Ac2La2Ir after structural relaxation (GGA-PBE, the Alexandria database).

## Properties
Space-group type ... I4_1/amd
Total magnetic moment ... 0.00 Bohr magnetons per cell
D(E_F) ... 1.15 states/eV/atom
E_tot ... -5.616 eV/atom

Cell: 5.1681 5.1681 13.9959 Å, 100.64 100.64 90.00°
Closest atoms and distances in Å follow each position.
Element x y z (fractional)
La (0.6905, 0.6905, 0.3810)  2 Ir 3.04
Ac (0.4304, 0.9304, 0.8609)  2 Ir 3.20, 1 La 3.49
Ac (0.0696, 0.5696, 0.1391)  2 Ir 3.20, 1 La 3.49
Ac (0.1804, 0.1804, 0.3609)  2 Ir 3.20, 1 La 3.49
La (0.5595, 0.0595, 0.1190)  2 Ir 3.04
La (0.9405, 0.4405, 0.8810)  2 Ir 3.04
La (0.3095, 0.3095, 0.6190)  2 Ir 3.04
Ir (0.7500, 0.2500, 0.5000)  4 La 3.04, 4 Ac 3.20
Ac (0.8196, 0.8196, 0.6391)  2 Ir 3.20, 1 La 3.49
Ir (0.5000, 0.5000, 0.0000)  4 La 3.04, 4 Ac 3.20


(2)
# AcLa2Ir

AcLa2Ir after structural relaxation (GGA-PBE, the Alexandria database).

## Properties
Space-group type ... Cmcm
Total magnetic moment ... 0.00 Bohr magnetons per cell
D(E_F) ... 1.23 states/eV/atom
Excess energy over the best structure of this formula in the dataset ... 0.11 eV per formula unit

Cell: 4.0427 6.5833 10.2837 Å, 90.00 90.00 107.91°
Closest atoms and distances in Å follow each position.
Element x y z (fractional)
Ir (0.2242, 0.4483, 0.2500)  4 La 2.92, 2 Ac 3.15
La (0.6437, 0.2870, 0.4297)  2 Ir 2.92
Ac (0.9166, 0.8338, 0.2500)  2 Ir 3.15
Ir (0.7758, 0.5517, 0.7500)  4 La 2.92, 2 Ac 3.15
La (0.3563, 0.7130, 0.5703)  2 Ir 2.92
La (0.3563, 0.7130, 0.9297)  2 Ir 2.92
La (0.6437, 0.2870, 0.0703)  2 Ir 2.92
Ac (0.0834, 0.1662, 0.7500)  2 Ir 3.15


(3)
# Ac5La2Ir5

Ac5La2Ir5 after structural relaxation (GGA-PBE, the Alexandria database).

## Properties
Space-group type ... C2/m
Total magnetic moment ... 0.00 Bohr magnetons per cell
D(E_F) ... 0.52 states/eV/atom
E_tot ... -6.859 eV/atom

Cell: 4.2394 7.3672 12.8336 Å, 71.82 80.49 73.28°
Closest atoms and distances in Å follow each position.
Element x y z (fractional)
Ac (0.3445, 0.2619, 0.0491)  5 Ir 2.99-3.23
Ac (0.2601, 0.1214, 0.3584)  5 Ir 2.99-3.35
Ac (0.7399, 0.8786, 0.6416)  5 Ir 2.99-3.35
Ir (0.0000, 0.0000, 0.0000)  2 La 2.91, 4 Ac 2.99
La (0.9594, 0.2943, 0.7868)  4 Ir 2.89-2.92
La (0.0406, 0.7057, 0.2132)  4 Ir 2.89-2.92
Ir (0.3124, 0.5667, 0.8084)  2 La 2.92, 3 Ac 3.20-3.23
Ir (0.6876, 0.4333, 0.1916)  2 La 2.92, 3 Ac 3.20-3.23
Ac (0.6555, 0.7381, 0.9509)  5 Ir 2.99-3.23
Ir (0.8866, 0.8074, 0.4193)  1 La 2.89, 5 Ac 2.99-3.01
Ir (0.1134, 0.1926, 0.5807)  1 La 2.89, 5 Ac 2.99-3.01
Ac (0.5000, 0.5000, 0.5000)  4 Ir 3.00


(4)
# Ac7LaIr3

Ac7LaIr3 after structural relaxation (GGA-PBE, the Alexandria database).

## Properties
Space-group type ... P3m1
Total magnetic moment ... 0.00 Bohr magnetons per cell
D(E_F) ... 1.15 states/eV/atom
E_tot ... -5.944 eV/atom

Cell: 6.9050 8.6017 8.6017 Å, 120.00 90.00 90.00°
Closest atoms and distances in Å follow each position.
Element x y z (fractional)
Ac (0.0206, 0.1684, 0.3369)  2 Ir 2.97
Ir (0.7803, 0.0031, 0.5015)  1 La 2.87, 5 Ac 2.97
Ac (0.0206, 0.1684, 0.8316)  2 Ir 2.97
Ac (0.0206, 0.6631, 0.8316)  2 Ir 2.97
Ac (0.0114, 0.6667, 0.3333)  3 Ir 2.97
Ir (0.7803, 0.4985, 0.9969)  1 La 2.87, 5 Ac 2.97
Ac (0.5451, 0.8322, 0.6645)  2 Ir 2.97
La (0.5658, 0.3333, 0.6667)  3 Ir 2.87
Ir (0.7803, 0.4985, 0.5015)  1 La 2.87, 5 Ac 2.97
Ac (0.5451, 0.8322, 0.1678)  2 Ir 2.97
Ac (0.5451, 0.3355, 0.1678)  2 Ir 2.97


(5)
# AcLa4Ir3

AcLa4Ir3 after structural relaxation (GGA-PBE, the Alexandria database).

## Properties
Space-group type ... Cc
Total magnetic moment ... 0.00 Bohr magnetons per cell
D(E_F) ... 0.56 states/eV/atom
E_tot ... -6.958 eV/atom

Cell: 7.4010 7.9801 10.6531 Å, 109.51 90.00 117.63°
Closest atoms and distances in Å follow each position.
Element x y z (fractional)
Ir (0.9131, 0.8110, 0.8059)  5 La 2.90-2.98, 1 Ac 2.98
La (0.8721, 0.4187, 0.1308)  4 Ir 2.89-2.98
Ir (0.2941, 0.5882, 0.5835)  5 La 2.88-2.96, 1 Ac 2.99
La (0.5466, 0.4187, 0.6308)  4 Ir 2.89-2.98
Ir (0.2941, 0.5882, 0.0835)  5 La 2.88-2.96, 1 Ac 2.99
La (0.2802, 0.2066, 0.9343)  3 Ir 2.88-2.90
Ac (0.3190, 0.9895, 0.2370)  3 Ir 2.97-2.99
La (0.0571, 0.7803, 0.5472)  4 Ir 2.91-2.96
Ir (0.6926, 0.3917, 0.8753)  5 La 2.89-2.95, 1 Ac 2.97
La (0.7232, 0.7803, 0.0472)  4 Ir 2.91-2.96
Ir (0.8979, 0.8110, 0.3059)  5 La 2.90-2.98, 1 Ac 2.98
La (0.1258, 0.5938, 0.8357)  4 Ir 2.91-2.96
Ac (0.6705, 0.9895, 0.7370)  3 Ir 2.97-2.99
La (0.9265, 0.2066, 0.4343)  3 Ir 2.88-2.90
La (0.4679, 0.5938, 0.3357)  4 Ir 2.91-2.96
Ir (0.6990, 0.3917, 0.3753)  5 La 2.89-2.95, 1 Ac 2.97


(6)
# AcLa2Ir

AcLa2Ir after structural relaxation (GGA-PBE, the Alexandria database).

## Properties
Space-group type ... Pnma
Total magnetic moment ... 0.00 Bohr magnetons per cell
D(E_F) ... 1.23 states/eV/atom
Excess energy over the best structure of this formula in the dataset ... 0.00 eV per formula unit

Cell: 6.7085 7.5435 10.3739 Å, 90.00 90.00 90.00°
Closest atoms and distances in Å follow each position.
Element x y z (fractional)
Ir (0.5893, 0.1193, 0.7500)  4 La 2.91-2.93, 2 Ac 3.04-3.19
La (0.8289, 0.3311, 0.9296)  2 Ir 2.91-2.93
La (0.3289, 0.1689, 0.0704)  2 Ir 2.91-2.93
Ac (0.1474, 0.9627, 0.7500)  2 Ir 3.04-3.19
Ir (0.9107, 0.6193, 0.7500)  4 La 2.91-2.93, 2 Ac 3.04-3.19
La (0.1711, 0.6689, 0.4296)  2 Ir 2.91-2.93
La (0.3289, 0.1689, 0.4296)  2 Ir 2.91-2.93
Ir (0.4107, 0.8807, 0.2500)  4 La 2.91-2.93, 2 Ac 3.04-3.19
La (0.8289, 0.3311, 0.5704)  2 Ir 2.91-2.93
Ir (0.0893, 0.3807, 0.2500)  4 La 2.91-2.93, 2 Ac 3.04-3.19
La (0.6711, 0.8311, 0.9296)  2 Ir 2.91-2.93
Ac (0.3526, 0.4627, 0.7500)  2 Ir 3.04-3.19
Ac (0.8526, 0.0373, 0.2500)  2 Ir 3.04-3.19
La (0.6711, 0.8311, 0.5704)  2 Ir 2.91-2.93
La (0.1711, 0.6689, 0.0704)  2 Ir 2.91-2.93
Ac (0.6474, 0.5373, 0.2500)  2 Ir 3.04-3.19


(7)
# AcLaIr2

AcLaIr2 after structural relaxation (GGA-PBE, the Alexandria database).

## Properties
Space-group type ... Fm-3m
Total magnetic moment ... 0.00 Bohr magnetons per cell
D(E_F) ... 1.10 states/eV/atom
Excess energy over the best structure of this formula in the dataset ... 0.55 eV per formula unit

Cell: 5.1683 5.1683 5.1683 Å, 60.00 60.00 60.00°
Closest atoms and distances in Å follow each position.
Element x y z (fractional)
La (0.5000, 0.5000, 0.5000)  8 Ir 3.16
Ir (0.7500, 0.7500, 0.7500)  4 Ac 3.16, 4 La 3.16
Ir (0.2500, 0.2500, 0.2500)  4 La 3.16, 4 Ac 3.16
Ac (0.0000, 0.0000, 0.0000)  8 Ir 3.16


(8)
# AcLa2Ir2

AcLa2Ir2 after structural relaxation (GGA-PBE, the Alexandria database).

## Properties
Space-group type ... Cc
Total magnetic moment ... 0.00 Bohr magnetons per cell
D(E_F) ... 0.40 states/eV/atom
E_tot ... -6.981 eV/atom

Cell: 7.3413 7.3413 7.9573 Å, 89.37 118.14 120.04°
Closest atoms and distances in Å follow each position.
Element x y z (fractional)
La (0.8273, 0.0766, 0.7493)  4 Ir 2.88-2.97
La (0.1727, 0.9220, 0.2493)  4 Ir 2.88-2.97
Ir (0.6823, 0.8434, 0.0032)  4 La 2.88-2.98, 2 Ac 3.01-3.02
La (0.8290, 0.2511, 0.2502)  4 Ir 2.92-2.98
La (0.4992, 0.4213, 0.7502)  4 Ir 2.92-2.98
Ir (0.3352, 0.1704, 0.9967)  4 La 2.92-2.97, 2 Ac 2.98-2.99
Ir (0.6599, 0.3209, 0.5032)  4 La 2.88-2.98, 2 Ac 3.01-3.02
Ir (0.3263, 0.6615, 0.4967)  4 La 2.92-2.97, 2 Ac 2.98-2.99
Ac (0.5018, 0.5840, 0.2505)  4 Ir 2.98-3.02
Ac (0.1665, 0.7488, 0.7505)  4 Ir 2.98-3.02


(9)
# Ac2La3Ir2

Ac2La3Ir2 after structural relaxation (GGA-PBE, the Alexandria database).

## Properties
Space-group type ... C2/m
Total magnetic moment ... 0.00 Bohr magnetons per cell
D(E_F) ... 1.07 states/eV/atom
E_tot ... -6.331 eV/atom

Cell: 4.0852 6.7884 9.5774 Å, 115.07 90.00 107.51°
Closest atoms and distances in Å follow each position.
Element x y z (fractional)
La (0.5000, 0.0000, 0.0000)  4 Ir 3.20
Ac (0.8285, 0.6569, 0.1981)  2 Ir 3.05
Ac (0.1715, 0.3431, 0.8019)  2 Ir 3.05
La (0.6182, 0.2364, 0.4204)  3 Ir 2.90-3.10
Ir (0.8255, 0.6511, 0.7494)  5 La 2.90-3.20, 2 Ac 3.05
La (0.3818, 0.7636, 0.5796)  3 Ir 2.90-3.10
Ir (0.1745, 0.3489, 0.2506)  5 La 2.90-3.20, 2 Ac 3.05


(10)
# AcLa2Ir

AcLa2Ir after structural relaxation (GGA-PBE, the Alexandria database).

## Properties
Space-group type ... R3m
Total magnetic moment ... 0.00 Bohr magnetons per cell
D(E_F) ... 1.16 states/eV/atom
Excess energy over the best structure of this formula in the dataset ... 0.23 eV per formula unit

Cell: 4.1821 4.1821 10.0013 Å, 77.93 77.93 60.00°
Closest atoms and distances in Å follow each position.
Element x y z (fractional)
Ir (0.6662, 0.6662, 0.0013)  6 La 2.87-2.88
La (0.0533, 0.0533, 0.8400)  3 Ir 2.88
La (0.2797, 0.2797, 0.1609)  3 Ir 2.87
Ac (0.5008, 0.5008, 0.4977)  6 La 4.06-4.11, 6 Ac 4.18


(11)
# Ac2LaIr

Ac2LaIr after structural relaxation (GGA-PBE, the Alexandria database).

## Properties
Space-group type ... Pnna
Total magnetic moment ... 0.00 Bohr magnetons per cell
D(E_F) ... 1.04 states/eV/atom
Excess energy over the best structure of this formula in the dataset ... 0.00 eV per formula unit

Cell: 6.8619 7.2971 12.3562 Å, 90.00 90.00 90.00°
Closest atoms and distances in Å follow each position.
Element x y z (fractional)
Ac (0.2450, 0.5878, 0.5806)  2 Ir 2.99-3.00
Ir (0.5001, 0.2500, 0.9035)  2 La 2.84, 4 Ac 2.99-3.00
Ac (0.2450, 0.0878, 0.4194)  2 Ir 2.99-3.00
La (0.7501, 0.4187, 0.7500)  2 Ir 2.84
Ir (0.9999, 0.7500, 0.4035)  2 La 2.84, 4 Ac 2.99-3.00
Ac (0.7550, 0.4122, 0.4194)  2 Ir 2.99-3.00
Ir (0.0001, 0.2500, 0.5965)  2 La 2.84, 4 Ac 2.99-3.00
Ac (0.7450, 0.9122, 0.9194)  2 Ir 2.99-3.00
La (0.2499, 0.5813, 0.2500)  2 Ir 2.84
Ac (0.2550, 0.5878, 0.9194)  2 Ir 2.99-3.00
La (0.7499, 0.9187, 0.2500)  2 Ir 2.84
Ir (0.4999, 0.7500, 0.0965)  2 La 2.84, 4 Ac 2.99-3.00
La (0.2501, 0.0813, 0.7500)  2 Ir 2.84
Ac (0.7550, 0.9122, 0.5806)  2 Ir 2.99-3.00
Ac (0.2550, 0.0878, 0.0806)  2 Ir 2.99-3.00
Ac (0.7450, 0.4122, 0.0806)  2 Ir 2.99-3.00


(12)
# Ac8LaIr6

Ac8LaIr6 after structural relaxation (GGA-PBE, the Alexandria database).

## Properties
Space-group type ... R-3
Total magnetic moment ... 0.00 Bohr magnetons per cell
D(E_F) ... 0.60 states/eV/atom
E_tot ... -6.645 eV/atom

Cell: 7.5825 7.5825 11.0321 Å, 69.90 69.90 60.00°
Closest atoms and distances in Å follow each position.
Element x y z (fractional)
Ac (0.6667, 0.6667, 0.0000)  6 Ir 3.10
Ir (0.6126, 0.2705, 0.1754)  5 Ac 2.91-3.10, 1 La 3.06
Ac (0.1067, 0.7718, 0.6796)  3 Ir 2.91-2.94
Ac (0.4419, 0.1067, 0.6796)  3 Ir 2.91-2.94
Ir (0.3874, 0.7295, 0.8246)  5 Ac 2.91-3.10, 1 La 3.06
Ir (0.7295, 0.0585, 0.8246)  5 Ac 2.91-3.10, 1 La 3.06
La (0.0000, 0.0000, 0.0000)  6 Ir 3.06
Ac (0.2282, 0.5581, 0.3204)  3 Ir 2.91-2.94
Ac (0.8933, 0.2282, 0.3204)  3 Ir 2.91-2.94
Ac (0.3333, 0.3333, 0.0000)  6 Ir 3.10
Ir (0.9415, 0.6126, 0.1754)  5 Ac 2.91-3.10, 1 La 3.06
Ir (0.2705, 0.9415, 0.1754)  5 Ac 2.91-3.10, 1 La 3.06
Ir (0.0585, 0.3874, 0.8246)  5 Ac 2.91-3.10, 1 La 3.06
Ac (0.5581, 0.8933, 0.3204)  3 Ir 2.91-2.94
Ac (0.7718, 0.4419, 0.6796)  3 Ir 2.91-2.94


What is the D(E_F) in the eleventh record? 1.04 states/eV/atom